Material: Ir2PtAu
Method: DFT, PBE
State: relaxed

CIF file:
```
data_Ir2PtAu
_chemical_formula_sum 'Ir2 Pt1 Au1'
_symmetry_space_group_name_H-M 'P 4/m m m'
_symmetry_Int_Tables_number 123
_symmetry_space_group_name_Hall '-P 4 2'
_cell_length_a 2.813
_cell_length_b 2.813
_cell_length_c 7.904
_cell_angle_alpha 90.00
_cell_angle_beta 90.00
_cell_angle_gamma 90.00
loop_
_atom_site_label
_atom_site_type_symbol
_atom_site_fract_x
_atom_site_fract_y
_atom_site_fract_z
Ir1 Ir 0.000 0.000 0.236
Pt1 Pt 0.500 0.500 0.000
Au1 Au 0.500 0.500 0.500
```

* crystal system: tetragonal
* E_tot: -6.49 eV per atom
* Fermi-level density of states: 2.00 states/eV/cell
* energy relative to the lowest polymorph listed for this composition: 157.9 meV/atom
* energy relative to the elements: 0.27 eV/atom